Record 1
A relaxed structure of Tl2Cd2In3. Source: the Alexandria database, functional PBE.

space-group type	C2/m, No. 12
calculated formation energy	0.048	eV/atom
DOS at the Fermi energy	3.0	states/eV per cell
energy relative to the lowest polymorph listed for this composition	7	meV/atom

abc: 6.026 6.026 8.160
angles: 110.77 110.77 46.25
Fractional positions:
1 Tl 0.143 0.143 0.296
2 Tl 0.857 0.857 0.704
3 Cd 0.160 0.160 0.713
4 Cd 0.840 0.840 0.287
5 In 0.387 0.387 0.066
6 In 0.500 0.500 0.500
7 In 0.613 0.613 0.934


Record 2
A relaxed structure of Tl4CdIn7. Source: the Alexandria database, functional PBE.

space-group type	P-3m1, No. 164
calculated formation energy	0.025	eV/atom
DOS at the Fermi energy	7.6	states/eV per cell

abc: 3.404 3.404 33.417
angles: 90.00 90.00 120.00
Fractional positions:
1 Tl 0.333 0.667 0.162
2 Tl 0.333 0.667 0.415
3 Tl 0.667 0.333 0.585
4 Tl 0.667 0.333 0.838
5 Cd 0.000 0.000 0.000
6 In 0.000 0.000 0.248
7 In 0.000 0.000 0.500
8 In 0.000 0.000 0.752
9 In 0.333 0.667 0.671
10 In 0.333 0.667 0.923
11 In 0.667 0.333 0.077
12 In 0.667 0.333 0.329